#w
First-principles (GGA-PBE) data for a relaxed Eu2ZnCd crystal, as listed in Alexandria via LeMat-Bulk.

Lattice parameters (Å, degrees): 3.8230 3.8230 7.7650 90.00 90.00 90.00
With the nearest neighbours (Å) after each atom.
Space group P4/mmm (No. 123)
Unique sites:
Eu1 0.0000 0.0000 0.2361 x2  4 Zn 3.27, 4 Cd 3.39
Zn1 0.5000 0.5000 0.0000 x1  8 Eu 3.27
Cd1 0.5000 0.5000 0.5000 x1  8 Eu 3.39

Output
Magnetic moment = 14.38 μB/f.u.
Calculated volume = 28.37 Å³/atom
DOS at the Fermi energy = 11.22 states/eV/cell

---

#x
First-principles (GGA-PBE) data for a relaxed Eu2ZnCd crystal, as listed in Alexandria via LeMat-Bulk.

Lattice parameters (Å, degrees): 3.9254 3.9254 28.6711 90.00 90.00 120.00
With the nearest neighbours (Å) after each atom.
Space group R-3m (No. 166, hexagonal axes)
Unique sites:
Eu1 0.0000 0.0000 0.2444 x6  3 Zn 3.18, 3 Cd 3.41
Zn1 0.0000 0.0000 0.5000 x3  6 Eu 3.18
Cd1 0.0000 0.0000 0.0000 x3  6 Eu 3.41

Output
Magnetic moment = 15.46 μB/f.u.
Calculated volume = 31.88 Å³/atom
DOS at the Fermi energy = 41.45 states/eV/cell

---

Q: Which of them is the most stable? A: #w.

---

#w
First-principles (GGA-PBE) data for a relaxed Cd3F crystal, as listed in Alexandria via LeMat-Bulk.

Lattice parameters (Å, degrees): 3.1003 3.1659 8.4821 90.00 90.00 90.00
With the nearest neighbours (Å) after each atom.
Space group Pmm2 (No. 25)
Unique sites:
Cd1 0.0000 0.0000 0.0000 x1  2 F 2.80, 2 Cd 3.10
Cd2 0.0000 0.5000 0.4222 x1  4 F 2.54
Cd3 0.5000 0.5000 0.7290 x1  10 Cd 3.03-3.19
F1 0.5000 0.0000 0.2751 x1  6 Cd 2.54-2.80

Output
Magnetic moment = 0.00 μB/f.u.
Calculated volume = 20.81 Å³/atom
DOS at the Fermi energy = 0.58 states/eV/cell

---

#x
First-principles (GGA-PBE) data for a relaxed Cd3F crystal, as listed in Alexandria via LeMat-Bulk.

Lattice parameters (Å, degrees): 3.0058 5.5348 9.5318 90.00 90.00 90.00
With the nearest neighbours (Å) after each atom.
Space group Immm (No. 71)
Unique sites:
Cd1 0.0000 0.0000 0.0000 x2  6 Cd 3.01-3.08, 4 F 3.15
Cd2 0.0000 0.5000 0.2177 x4  2 F 2.56
F1 0.0000 0.0000 0.5000 x2  4 Cd 2.56

Output
Magnetic moment = 0.00 μB/f.u.
Calculated volume = 19.82 Å³/atom
DOS at the Fermi energy = 3.10 states/eV/cell

---

Q: Which of them is the most stable? A: #w.

---

#w
First-principles (GGA-PBE) data for a relaxed CdF4 crystal, as listed in Alexandria via LeMat-Bulk.

Lattice parameters (Å, degrees): 6.2852 3.5794 7.2867 90.00 101.04 90.00
With the nearest neighbours (Å) after each atom.
Space group C2/m (No. 12)
Unique sites:
Cd1 0.0000 0.0000 0.0000 x2  6 F 2.28-2.30
F1 0.0527 0.5000 0.4197 x4  1 F 1.45
F2 0.1956 0.5000 0.1329 x4  3 Cd 2.28-2.30, 1 F 2.43

Output
Magnetic moment = 0.00 μB/f.u.
Calculated volume = 16.09 Å³/atom
DOS at the Fermi energy = 0.00 states/eV/cell

---

#x
First-principles (GGA-PBE) data for a relaxed CdF4 crystal, as listed in Alexandria via LeMat-Bulk.

Lattice parameters (Å, degrees): 4.2831 4.2831 4.2831 90.00 90.00 90.00
With the nearest neighbours (Å) after each atom.
Space group Pm-3m (No. 221)
Unique sites:
Cd1 0.0000 0.0000 0.0000 x1  6 F 2.14
F1 0.0000 0.0000 0.5000 x3  2 Cd 2.14
F2 0.5000 0.5000 0.5000 x1  12 F 3.03

Output
Magnetic moment = 1.56 μB/f.u.
Calculated volume = 15.72 Å³/atom
DOS at the Fermi energy = 9.59 states/eV/cell

---

Q: Which of them is the most stable? A: #w.